# RbSr2Cl (PBE, relaxed)
# Crystal system: cubic
# Total energy (hartree per atom): -0.0651
# Total magnetic moment (μB/cell): 0.0
# Energy above the lowest structure with this stoichiometry (meV per atom): 423
data_RbSr2Cl
_symmetry_space_group_name_H-M 'P 1'
_symmetry_Int_Tables_number 1
_cell_length_a 6.697
_cell_length_b 6.697
_cell_length_c 6.697
_cell_angle_alpha 60.00
_cell_angle_beta 60.00
_cell_angle_gamma 60.00
loop_
_symmetry_equiv_pos_as_xyz
'x,y,z'
loop_
_atom_site_label
_atom_site_type_symbol
_atom_site_fract_x
_atom_site_fract_y
_atom_site_fract_z
Rb1 Rb 0.000 0.000 0.000
Sr1 Sr 0.250 0.250 0.250
Sr2 Sr 0.750 0.750 0.750
Cl1 Cl 0.500 0.500 0.500

=====

# UAg3I6Cl2 (PBE, relaxed)
# Crystal system: monoclinic
# Total energy (hartree per atom): -0.1204
# Total magnetic moment (μB/cell): 1.0
data_UAg3I6Cl2
_symmetry_space_group_name_H-M 'P 1'
_symmetry_Int_Tables_number 1
_cell_length_a 8.423
_cell_length_b 8.423
_cell_length_c 7.490
_cell_angle_alpha 107.86
_cell_angle_beta 107.86
_cell_angle_gamma 60.10
loop_
_symmetry_equiv_pos_as_xyz
'x,y,z'
loop_
_atom_site_label
_atom_site_type_symbol
_atom_site_fract_x
_atom_site_fract_y
_atom_site_fract_z
U1 U 0.000 0.000 0.000
Ag1 Ag 0.000 0.500 0.000
Ag2 Ag 0.500 0.000 0.000
Ag3 Ag 0.500 0.500 0.500
I1 I 0.123 0.123 0.753
I2 I 0.129 0.635 0.747
I3 I 0.365 0.871 0.253
I4 I 0.635 0.129 0.747
I5 I 0.871 0.365 0.253
I6 I 0.877 0.877 0.247
Cl1 Cl 0.354 0.354 0.217
Cl2 Cl 0.646 0.646 0.783